Entry 1:
# Rb2Nb2As

A relaxed structure of Rb2Nb2As (PBE-GGA, Alexandria).

Cell: 7.930 7.930 5.355 Å, 90.00 90.00 90.00°
Fractional positions:
Rb 0.133 0.367 0.000
Rb 0.367 0.867 0.000
Rb 0.633 0.133 0.000
Rb 0.867 0.633 0.000
Nb 0.189 0.689 0.500
Nb 0.311 0.189 0.500
Nb 0.689 0.811 0.500
Nb 0.811 0.311 0.500
As 0.000 0.000 0.000
As 0.500 0.500 0.000

Results
Crystal system   tetragonal
E_form   1.98 eV/atom


Entry 2:
# KAlBi2Se

A relaxed structure of KAlBi2Se (PBE-GGA, Alexandria).

Cell: 6.048 6.048 5.664 Å, 90.00 90.00 90.00°
Fractional positions:
K 0.000 0.000 0.000
Al 0.000 0.000 0.500
Bi 0.000 0.500 0.000
Bi 0.500 0.000 0.000
Se 0.500 0.500 0.500

Results
Crystal system   tetragonal
Uncorrected formation energy   1.30 eV per atom


Entry 3:
# VSbTe2Os

A relaxed structure of VSbTe2Os (PBE-GGA, Alexandria).

Cell: 5.024 5.024 5.053 Å, 90.00 90.00 90.00°
Fractional positions:
V 0.000 0.000 0.000
Sb 0.000 0.000 0.500
Te 0.000 0.500 0.000
Te 0.500 0.000 0.000
Os 0.500 0.500 0.500

Results
Crystal system   tetragonal
Uncorrected formation energy   1.30 eV per atom


Entry 4:
# Mo2Ru3

A relaxed structure of Mo2Ru3 (PBE-GGA, Alexandria).

Cell: 4.238 4.238 5.269 Å, 90.00 90.00 120.00°
Fractional positions:
Mo 0.333 0.667 0.314
Mo 0.667 0.333 0.686
Ru 0.000 0.000 0.500
Ru 0.333 0.667 0.843
Ru 0.667 0.333 0.157

Results
Crystal system   trigonal
E_form   0.36 eV/atom